The following is a DFT calculation (GGA-PBE) of an optimized crystal structure of HoC2O6.

Results
Energy   -278.6 eV per cell
Size of the total moment   0.11 μB per atom
Density   4.3 g/cm3
Energy relative to the elements, uncorrected   -1.874 eV/atom

Cell: 10.2652 8.3011 6.8778 Å, 90.00 131.11 90.00°
Space group C2/c (No. 15)
Symmetry-distinct sites (fractional):
Ho1 0.0000 0.2495 0.2500 x4
C1 0.2489 0.4610 0.1868 x8
O1 0.1045 0.1030 0.6209 x8
O2 0.1109 0.3821 0.0873 x8
O3 0.2462 0.4008 0.5966 x8